## RbPr2I6 (GGA-PBE)

Data for a relaxed structure of RbPr2I6.

Cell lengths 8.692, 7.957, 7.957 Å; angles 120.00, 90.00, 90.00 degrees
Fractional positions:
Rb: 0.000 0.000 0.000
Pr: 0.500 0.667 0.333
Pr: 0.500 0.333 0.667
I: 0.719 0.643 0.643
I: 0.281 0.643 0.000
I: 0.281 0.000 0.643
I: 0.719 0.357 0.000
I: 0.281 0.357 0.357
I: 0.719 0.000 0.357

Results
formation energy from raw total energies = -12.30 eV/f.u.
E_tot = -32.1 eV/cell
total magnetization = 1.0 μB/f.u.



## Zn3OsPb (GGA-PBE)

Data for a relaxed structure of Zn3OsPb.

Cell lengths 4.840, 4.840, 4.840 Å; angles 90.00, 90.00, 90.00 degrees
Fractional positions:
Pb: 0.500 0.500 0.500
Zn: 0.000 0.500 0.000
Zn: 0.000 0.000 0.500
Zn: 0.500 0.000 0.000
Os: 0.000 0.000 0.000

Results
formation energy from the elements = 0.485 eV per atom
E_tot = -16.3 eV/cell
total magnetization = 0.0 μB/f.u.
relative energy among the computed polymorphs = 0.00 eV/f.u.



## Sb2MoBr (GGA-PBE)

Data for a relaxed structure of Sb2MoBr.

Cell lengths 7.608, 5.686, 3.139 Å; angles 73.92, 90.08, 132.02 degrees
Fractional positions:
Sb: 0.000 0.000 0.000
Sb: 0.500 0.000 0.500
Mo: 0.500 0.500 0.000
Br: 0.000 0.500 0.500

Results
formation energy from raw total energies = 1.98 eV/f.u.
E_tot = -18.8 eV/cell
total magnetization = 0.0 μB/f.u.
relative energy among the computed polymorphs = 1.67 eV/f.u.



## AlTc2Ag (GGA-PBE)

Data for a relaxed structure of AlTc2Ag.

Cell lengths 5.265, 5.265, 4.362 Å; angles 67.17, 67.17, 33.59 degrees
Fractional positions:
Tc: 0.014 0.014 0.985
Tc: 0.486 0.486 0.515
Ag: 0.250 0.250 0.250
Al: 0.750 0.750 0.750

Results
formation energy from the elements = 0.182 eV per atom
E_tot = -26.6 eV/cell
total magnetization = 0.0 μB/f.u.



## CePmCo2 (GGA-PBE)

Data for a relaxed structure of CePmCo2.

Cell lengths 3.362, 3.362, 6.841 Å; angles 90.00, 90.00, 90.00 degrees
Fractional positions:
Co: 0.000 0.000 0.793
Co: 0.000 0.000 0.207
Ce: 0.500 0.500 0.000
Pm: 0.500 0.500 0.500

Results
formation energy from the elements = -0.086 eV per atom
E_tot = -25.2 eV/cell
total magnetization = 0.0 μB/f.u.
relative energy among the computed polymorphs = 0.52 eV/f.u.



## Ag2RhSe (GGA-PBE)

Data for a relaxed structure of Ag2RhSe.

Cell lengths 5.376, 5.376, 5.376 Å; angles 137.83, 137.83, 61.16 degrees
Fractional positions:
Ag: 0.000 0.000 0.000
Ag: 0.500 0.500 0.000
Rh: 0.250 0.750 0.500
Se: 0.750 0.250 0.500

Results
formation energy from raw total energies = 0.80 eV/f.u.
E_tot = -15.7 eV/cell
total magnetization = 0.0 μB/f.u.